Record 1
Hf2ThIr2: relaxed, PBE.

Results
The calculation puts the calculated total energy at -9.8203 eV/atom. The density of states at the Fermi level comes out at 9.31 states/eV per cell. For the calculated formation energy, the calculation gives -811 meV per atom.

Cell lengths 4.475, 4.475, 11.102 Å; angles 90.00, 90.00, 90.00 degrees
Space group I4/mmm (No. 139)
Inequivalent atoms, fractional coordinates:
Hf: 0.000 0.500 0.250 x4
Th: 0.000 0.000 0.000 x2
Ir: 0.000 0.000 0.381 x4


Record 2
K3SmTe2O9: relaxed, PBE.

Results
The calculation puts the calculated total energy at -5.5982 eV/atom. The density of states at the Fermi level comes out at 4.98 states/eV per cell. As for the formation energy without anion corrections: -1.670 eV per atom.

Cell lengths 5.8763, 5.8763, 7.2757 Å; angles 90.00, 90.00, 120.00 degrees
Space group P-3m1 (No. 164)
Inequivalent atoms, fractional coordinates:
K: 0.0000 0.0000 0.0000 x1
K: 0.3333 0.6667 0.6710 x2
Sm: 0.0000 0.0000 0.5000 x1
Te: 0.3333 0.6667 0.1644 x2
O: 0.0000 0.5000 0.0000 x3
O: 0.1778 0.3556 0.3086 x6


Record 3
NbRhN: relaxed, PBE.

Results
The calculation puts the calculated total energy at -9.1660 eV/atom. The density of states at the Fermi level comes out at 2.04 states/eV per cell. As for the formation energy without anion corrections: -0.584 eV per atom.

Cell lengths 3.000, 3.000, 4.294 Å; angles 90.00, 90.00, 90.00 degrees
Space group P4mm (No. 99)
Inequivalent atoms, fractional coordinates:
Nb: 0.000 0.000 0.000 x1
Rh: 0.500 0.500 0.446 x1
N: 0.500 0.500 0.924 x1


Record 4
NpTiSb: relaxed, PBE.

Results
The calculation puts the calculated total energy at -8.5493 eV/atom. The density of states at the Fermi level comes out at 21.33 states/eV per cell. As for the formation energy without anion corrections: -0.230 eV per atom.

Cell lengths 5.225, 5.240, 8.629 Å; angles 90.00, 90.35, 90.00 degrees
Space group C2/m (No. 12)
Inequivalent atoms, fractional coordinates:
Np: 0.000 0.241 0.000 x4
Ti: 0.242 0.000 0.611 x4
Sb: 0.243 0.500 0.713 x4


Q: What is the calculated total energy in the third record?
A: -9.1660 eV/atom